Record 1
First-principles (PBE) data for a geometry-optimized Dy2ScSi4Pt3 structure, as listed in Alexandria via LeMat-Bulk.

## Properties
Magnetization = 0.00 μB per formula unit
Crystal system = tetragonal
Formation energy without anion corrections = -1034 meV per atom
Symmetry = P-4m2

abc: 4.125 4.125 10.691
angles: 90.00 90.00 90.00
Positions (direct):
Dy (0.500, 0.000, 0.241)
Dy (0.000, 0.500, 0.759)
Sc (0.500, 0.500, 0.500)
Si (0.500, 0.500, 0.000)
Si (0.000, 0.000, 0.000)
Si (0.500, 0.000, 0.654)
Si (0.000, 0.500, 0.346)
Pt (0.000, 0.000, 0.500)
Pt (0.500, 0.000, 0.880)
Pt (0.000, 0.500, 0.120)

---

Record 2
First-principles (PBE) data for a geometry-optimized RbTlGe2Br6 structure, as listed in Alexandria via LeMat-Bulk.

## Properties
Magnetization = 0.00 μB per formula unit
Crystal system = monoclinic
Formation energy without anion corrections = -866 meV per atom
Symmetry = C2/c

abc: 10.333 9.894 9.894
angles: 107.91 73.51 73.51
Positions (direct):
Rb (0.250, 0.918, 0.082)
Rb (0.750, 0.082, 0.918)
Tl (0.250, 0.261, 0.739)
Tl (0.750, 0.739, 0.261)
Ge (0.310, 0.744, 0.531)
Ge (0.190, 0.469, 0.256)
Ge (0.690, 0.256, 0.469)
Ge (0.810, 0.531, 0.744)
Br (0.138, 0.971, 0.793)
Br (0.362, 0.207, 0.029)
Br (0.862, 0.029, 0.207)
Br (0.638, 0.793, 0.971)
Br (0.356, 0.918, 0.395)
Br (0.144, 0.605, 0.082)
Br (0.644, 0.082, 0.605)
Br (0.856, 0.395, 0.918)
Br (0.038, 0.584, 0.695)
Br (0.462, 0.305, 0.416)
Br (0.962, 0.416, 0.305)
Br (0.538, 0.695, 0.584)

---

Record 3
First-principles (PBE) data for a geometry-optimized AlTcOs2 structure, as listed in Alexandria via LeMat-Bulk.

## Properties
Magnetization = 0.37 μB per formula unit
Crystal system = tetragonal
ΔE_f = 21 meV per atom
Symmetry = I4/mmm

abc: 4.696 4.696 4.696
angles: 131.11 131.11 71.65
Site moments in Bohr magnetons follow the coordinates.
Positions (direct):
Os (0.000, 0.000, 0.000)  0.02
Os (0.500, 0.500, 0.000)  0.02
Tc (0.250, 0.750, 0.500)  0.29
Al (0.750, 0.250, 0.500)  0.00

---

Record 4
First-principles (PBE) data for a geometry-optimized USbPt structure, as listed in Alexandria via LeMat-Bulk.

## Properties
Magnetization = 1.82 μB per formula unit
Crystal system = orthorhombic
Formation energy without anion corrections = -460 meV per atom
Symmetry = Cmcm

abc: 3.218 4.522 9.916
angles: 90.00 99.34 90.00
Site moments in Bohr magnetons follow the coordinates.
Positions (direct):
U (0.406, 0.347, 0.811)  1.85
U (0.594, 0.847, 0.189)  1.85
Pt (0.040, 0.347, 0.080)  -0.08
Pt (0.960, 0.847, 0.920)  -0.08
Sb (0.183, 0.347, 0.367)  -0.06
Sb (0.817, 0.847, 0.633)  -0.06

---

Record 5
First-principles (PBE) data for a geometry-optimized SrAg2Os structure, as listed in Alexandria via LeMat-Bulk.

## Properties
Magnetization = 0.00 μB per formula unit
Crystal system = trigonal
ΔE_f = 903 meV per atom
Symmetry = R-3m

abc: 10.430 10.430 10.430
angles: 16.24 16.24 16.24
Positions (direct):
Ag (0.992, 0.992, 0.992)
Ag (0.508, 0.508, 0.508)
Os (0.250, 0.250, 0.250)
Sr (0.750, 0.750, 0.750)

---

Record 6
First-principles (PBE) data for a geometry-optimized K4AlPt structure, as listed in Alexandria via LeMat-Bulk.

## Properties
Magnetization = 0.00 μB per formula unit
Crystal system = cubic
ΔE_f = 662 meV per atom
Symmetry = F-43m

abc: 6.650 6.650 6.650
angles: 60.00 60.00 60.00
Positions (direct):
K (0.870, 0.377, 0.377)
K (0.377, 0.377, 0.870)
K (0.377, 0.870, 0.377)
K (0.377, 0.377, 0.377)
Al (0.000, 0.000, 0.000)
Pt (0.750, 0.750, 0.750)

---

Record 7
First-principles (PBE) data for a geometry-optimized Sm2Ho9In structure, as listed in Alexandria via LeMat-Bulk.

## Properties
Magnetization = 0.01 μB per formula unit
Crystal system = tetragonal
ΔE_f = -63 meV per atom
Symmetry = P4/mmm

abc: 4.936 4.936 15.035
angles: 90.00 90.00 90.00
Positions (direct):
Sm (0.000, 0.000, 0.332)
Sm (0.000, 0.000, 0.668)
Ho (0.500, 0.500, 0.000)
Ho (0.500, 0.500, 0.327)
Ho (0.500, 0.500, 0.673)
Ho (0.500, 0.000, 0.160)
Ho (0.500, 0.000, 0.500)
Ho (0.500, 0.000, 0.840)
Ho (0.000, 0.500, 0.160)
Ho (0.000, 0.500, 0.500)
Ho (0.000, 0.500, 0.840)
In (0.000, 0.000, 0.000)

---

Record 8
First-principles (PBE) data for a geometry-optimized MgTl2P structure, as listed in Alexandria via LeMat-Bulk.

## Properties
Magnetization = 0.00 μB per formula unit
Crystal system = tetragonal
ΔE_f = 152 meV per atom
Symmetry = I4/mmm

abc: 6.235 6.235 6.235
angles: 140.08 140.08 57.72
Positions (direct):
Mg (0.250, 0.750, 0.500)
P (0.750, 0.250, 0.500)
Tl (0.000, 0.000, 0.000)
Tl (0.500, 0.500, 0.000)

---

Number 1: V 18.19 Å³/atom. Number 2: V 42.16 Å³/atom. Number 3: V 14.38 Å³/atom. Number 4: V 23.73 Å³/atom. Number 5: V 19.35 Å³/atom. Number 6: V 34.65 Å³/atom. Number 7: V 30.53 Å³/atom. Number 8: V 24.74 Å³/atom.